! PBE+U OsWN2F, optimized geometry; values from VASP
&SYSTEM
  ibrav = 0, nat = 5, ntyp = 4
/
ATOMIC_SPECIES
Os 190.23 Os.upf
W 183.84 W.upf
N 14.01 N.upf
F 19.00 F.upf
ATOMIC_POSITIONS crystal
Os 0.000 0.000 0.000
W 0.500 0.500 0.500
N 0.000 0.500 0.500
N 0.500 0.000 0.500
F 0.500 0.500 0.000
CELL_PARAMETERS angstrom
4.062 0.000 0.000
0.000 4.062 0.000
0.000 0.000 4.019
! Space-group type: No. 123
! Total moment (μB per cell): 4.1
! DOS(E_F) (states/eV per atom): 0.9480
! E (eV per atom): -6.3880